Compound: TcPdW
Source: Alexandria via LeMat-Bulk
Functional: PBE-GGA
Structure: optimized geometry

Values from the calculation:
* SG: P3m1, No. 156
* formation energy: 22.7 kJ/mol of atoms
* D(E_F): 1.13 states/eV/atom
* total DFT energy (no corrections): -27.81 eV per cell

```
3
Lattice="4.503 0.000 0.000 -2.252 3.900 0.000 0.000 0.000 2.634" Properties=species:S:1:pos:R:3 pbc="T T T"
Tc 0.000 0.000 0.000
Pd 2.252 1.300 2.482
W 0.000 2.600 1.164
```

Compound: TcPdW
Source: Alexandria via LeMat-Bulk
Functional: PBE-GGA
Structure: optimized geometry

Values from the calculation:
* SG: I4mm, No. 107
* formation energy: 18.4 kJ/mol of atoms
* D(E_F): 1.06 states/eV/atom
* total DFT energy (no corrections): -55.88 eV per cell

```
6
Lattice="3.229 0.000 0.000 0.000 3.229 0.000 0.000 0.000 9.048" Properties=species:S:1:pos:R:3 pbc="T T T"
Tc 0.000 0.000 0.000
Tc 1.615 1.615 4.524
Pd 0.000 0.000 6.219
Pd 1.615 1.615 1.695
W 0.000 0.000 3.276
W 1.615 1.615 7.800
```

Compound: TcPdW2
Source: Alexandria via LeMat-Bulk
Functional: PBE-GGA
Structure: optimized geometry

Values from the calculation:
* SG: I-42d, No. 122
* formation energy: 75.4 kJ/mol of atoms
* D(E_F): 0.89 states/eV/atom
* total DFT energy (no corrections): -153.35 eV per cell

```
16
Lattice="7.066 0.000 0.000 0.000 7.066 0.000 0.000 0.000 5.442" Properties=species:S:1:pos:R:3 pbc="T T T"
Tc 0.000 0.000 0.000
Tc 0.000 3.533 1.361
Tc 3.533 0.000 4.082
Tc 3.533 3.533 2.721
Pd 0.000 0.000 2.721
Pd 0.000 3.533 4.082
Pd 3.533 0.000 1.361
Pd 3.533 3.533 0.000
W 1.647 1.767 0.680
W 1.767 5.181 2.041
W 1.767 5.419 4.762
W 1.886 1.767 3.401
W 5.181 5.300 3.401
W 5.300 1.647 4.762
W 5.300 1.886 2.041
W 5.419 5.300 0.680
```

Compound: TcPdW3
Source: Alexandria via LeMat-Bulk
Functional: PBE-GGA
Structure: optimized geometry

Values from the calculation:
* SG: Pm-3m, No. 221
* formation energy: 242.6 kJ/mol of atoms
* D(E_F): 1.78 states/eV/atom
* total DFT energy (no corrections): -41.85 eV per cell

```
5
Lattice="4.662 0.000 0.000 0.000 4.662 0.000 0.000 0.000 4.662" Properties=species:S:1:pos:R:3 pbc="T T T"
Tc 0.000 0.000 0.000
Pd 2.331 2.331 2.331
W 0.000 2.331 2.331
W 2.331 0.000 2.331
W 2.331 2.331 0.000
```

Compound: TcPdW2
Source: Alexandria via LeMat-Bulk
Functional: PBE-GGA
Structure: optimized geometry

Values from the calculation:
* SG: P4/mmm, No. 123
* formation energy: 6.3 kJ/mol of atoms
* D(E_F): 0.66 states/eV/atom
* total DFT energy (no corrections): -41.20 eV per cell

```
4
Lattice="3.952 0.000 0.000 0.000 3.952 0.000 0.000 0.000 3.931" Properties=species:S:1:pos:R:3 pbc="T T T"
Tc 0.000 0.000 0.000
Pd 1.976 1.976 0.000
W 0.000 1.976 1.966
W 1.976 0.000 1.966
```

Compound: Tc2PdW2
Source: Alexandria via LeMat-Bulk
Functional: PBE-GGA
Structure: optimized geometry

Values from the calculation:
* SG: P4/mbm, No. 127
* formation energy: 26.2 kJ/mol of atoms
* D(E_F): 0.77 states/eV/atom
* total DFT energy (no corrections): -100.95 eV per cell

```
10
Lattice="7.405 0.000 0.000 0.000 7.405 0.000 0.000 0.000 2.951" Properties=species:S:1:pos:R:3 pbc="T T T"
Tc 1.039 2.663 0.000
Tc 2.663 6.365 0.000
Tc 4.742 1.039 0.000
Tc 6.365 4.742 0.000
Pd 0.000 0.000 0.000
Pd 3.702 3.702 0.000
W 1.166 4.869 1.475
W 2.536 1.166 1.475
W 4.869 6.238 1.475
W 6.238 2.536 1.475
```

Compound: Tc2PdW
Source: Alexandria via LeMat-Bulk
Functional: PBE-GGA
Structure: optimized geometry

Values from the calculation:
* SG: I-42d, No. 122
* formation energy: 72.5 kJ/mol of atoms
* D(E_F): 1.22 states/eV/atom
* total DFT energy (no corrections): -143.50 eV per cell

```
16
Lattice="3.796 0.000 0.000 0.000 3.796 0.000 0.000 0.000 18.274" Properties=species:S:1:pos:R:3 pbc="T T T"
Tc 0.838 0.949 2.284
Tc 0.949 2.736 6.853
Tc 0.949 2.959 15.989
Tc 1.060 0.949 11.421
Tc 2.736 2.847 11.421
Tc 2.847 0.838 15.989
Tc 2.847 1.060 6.853
Tc 2.959 2.847 2.284
Pd 0.000 0.000 0.000
Pd 0.000 1.898 4.568
Pd 1.898 0.000 13.705
Pd 1.898 1.898 9.137
W 0.000 0.000 9.137
W 0.000 1.898 13.705
W 1.898 0.000 4.568
W 1.898 1.898 0.000
```

Compound: YTcPdW2
Source: Alexandria via LeMat-Bulk
Functional: PBE-GGA
Structure: optimized geometry

Values from the calculation:
* SG: P4/mmm, No. 123
* formation energy: 275.9 kJ/mol of atoms
* D(E_F): 1.79 states/eV/atom
* total DFT energy (no corrections): -33.63 eV per cell

```
5
Lattice="4.823 0.000 0.000 0.000 4.823 0.000 0.000 0.000 4.715" Properties=species:S:1:pos:R:3 pbc="T T T"
Y 0.000 0.000 0.000
Tc 2.411 2.411 2.358
Pd 0.000 0.000 2.358
W 0.000 2.411 0.000
W 2.411 0.000 0.000
```